Crystalline La2CuRh at its relaxed geometry. Source: the Alexandria database, functional PBE-GGA.

The space group is No. 160. For the formation energy from the elements, the calculation gives -0.39 eV per atom.

Lattice parameters (Å, degrees): 4.1654 4.1654 7.6334 74.17 74.17 60.00
Last column: nearest neighbours and their distance in Å.
Fractional coordinates of all 4 atoms:
Rh1 0.6652 0.6652 0.0044  6 La 2.88-2.91
La1 0.0738 0.0738 0.7787  3 Rh 2.91, 3 Cu 3.17
La2 0.2586 0.2586 0.2241  3 Rh 2.88, 3 Cu 3.09
Cu1 0.5024 0.5024 0.4928  6 La 3.09-3.17